# 1
Cu2SiRh (GGA-PBE, relaxed); raw formation energy = -0.01 eV/atom; N(E_F) = 4.2 states/eV/cell; DFT total energy = -41.99 eV/cell; ρ = 7.8 Mg/m³
1.0
-2.471 0.783 2.309
-0.548 -3.382 0.560
4.730 -1.210 8.080
Rh Cu Si
2 4 2
direct
0.750 0.250 0.500
0.000 0.000 0.000
0.875 0.869 0.750
0.131 0.625 0.250
0.375 0.381 0.750
0.619 0.125 0.250
0.500 0.500 0.000
0.250 0.750 0.500

***

# 2
TaTi3Al4 (GGA-PBE, relaxed); N(E_F) = 12.9 states/eV/cell; DFT total energy = -105.28 eV/cell; ρ = 5.4 Mg/m³
1.0
-4.827 -2.667 2.374
3.264 -1.810 4.602
-1.661 6.242 3.633
Ti Al Ta
6 8 2
direct
0.564 0.253 0.250
0.064 0.747 0.750
0.314 0.000 0.500
0.814 0.000 0.000
0.564 0.253 0.750
0.064 0.747 0.250
0.314 0.500 0.000
0.064 0.248 0.250
0.064 0.248 0.750
0.564 0.752 0.750
0.814 0.500 0.500
0.564 0.752 0.250
0.814 0.000 0.500
0.314 0.000 0.000
0.314 0.500 0.500
0.814 0.500 0.000

***

# 3
KCuPd3 (GGA-PBE, relaxed); N(E_F) = 3.8 states/eV/cell; DFT total energy = -18.78 eV/cell; ρ = 6.4 Mg/m³
1.0
4.782 0.000 0.000
0.000 4.782 0.000
0.000 0.000 4.782
Pd K Cu
3 1 1
direct
0.500 0.000 0.000
0.000 0.000 0.500
0.000 0.500 0.000
0.500 0.500 0.500
0.000 0.000 0.000

***

# 4
Tl2SnBr4 (GGA-PBE, relaxed); raw formation energy = -0.81 eV/atom; N(E_F) = 0.0 states/eV/cell; DFT total energy = -21.09 eV/cell; ρ = 5.3 Mg/m³
1.0
4.491 0.000 0.000
0.000 8.990 -0.728
-2.245 -5.039 6.922
Br Sn Tl
4 1 2
direct
0.647 0.263 0.293
0.901 0.175 0.801
0.099 0.825 0.199
0.353 0.737 0.707
0.000 0.000 0.000
0.314 0.297 0.628
0.686 0.703 0.372

***

# 5
LiPuAlO6 (GGA-PBE, relaxed); raw formation energy = -2.19 eV/atom; N(E_F) = 5.9 states/eV/cell; DFT total energy = -138.81 eV/cell; ρ = 6.2 Mg/m³
1.0
4.694 0.000 0.000
0.000 4.694 0.000
0.000 0.000 9.072
O Li Al Pu
12 2 2 2
direct
0.206 0.794 0.824
0.294 0.294 0.324
0.301 0.301 0.681
0.794 0.206 0.824
0.699 0.699 0.681
0.816 0.184 0.495
0.801 0.199 0.181
0.184 0.816 0.495
0.684 0.684 0.995
0.706 0.706 0.324
0.199 0.801 0.181
0.316 0.316 0.995
0.500 0.500 0.502
0.000 0.000 0.002
0.000 0.000 0.330
0.500 0.500 0.830
0.000 0.000 0.667
0.500 0.500 0.167

***

# 6
NiB2Rh (GGA-PBE, relaxed); N(E_F) = 4.2 states/eV/cell; DFT total energy = -25.79 eV/cell; ρ = 8.3 Mg/m³
1.0
0.809 -0.105 3.636
0.007 3.145 1.999
-2.675 0.611 2.522
B Ni Rh
2 1 1
direct
0.250 0.250 0.250
0.750 0.750 0.750
0.000 0.000 0.000
0.500 0.500 0.500

***

# 7
NdCd8Hg2 (GGA-PBE, relaxed); N(E_F) = 4.1 states/eV/cell; DFT total energy = -13.18 eV/cell; ρ = 9.0 Mg/m³
1.0
5.019 1.803 0.000
3.007 7.545 0.000
1.503 3.772 8.205
Hg Cd Nd
2 8 1
direct
0.000 0.681 0.639
0.000 0.319 0.361
0.231 0.900 0.730
0.231 0.630 0.270
0.769 0.370 0.730
0.500 0.797 0.406
0.769 0.100 0.270
0.254 0.495 0.000
0.746 0.505 0.000
0.500 0.203 0.594
0.500 0.000 0.000

***

# 8
CeGdHoSc (GGA-PBE, relaxed); N(E_F) = 8.7 states/eV/cell; DFT total energy = -30.38 eV/cell; ρ = 7.1 Mg/m³
1.0
5.527 0.000 0.000
2.763 4.786 0.000
2.763 1.595 4.512
Ho Sc Ce Gd
1 1 1 1
direct
0.000 0.000 0.000
0.500 0.500 0.500
0.750 0.750 0.750
0.250 0.250 0.250